w | Here is Ba2SrHgRh after structural relaxation from Alexandria. Energies are from PBE-GGA.

a = 5.965 Å, b = 5.965 Å, c = 5.587 Å
α = 90.00°, β = 90.00°, γ = 90.00°
Positions (direct):
Ba (0.000, 0.500, 0.000)
Ba (0.500, 0.000, 0.000)
Sr (0.000, 0.000, 0.500)
Hg (0.500, 0.500, 0.500)
Rh (0.500, 0.500, 0.000)

Computed properties:
- density (g/cm³) = 5.56
- V (Å³ per atom) = 39.75
- magnetization (μB per atom) = 0.0003
- Fermi-level density of states (states/eV per cell) = 5.16

***

x | Here is Ba2SrHgRh after structural relaxation from Alexandria. Energies are from PBE-GGA.

a = 6.027 Å, b = 6.027 Å, c = 5.821 Å
α = 90.00°, β = 90.00°, γ = 90.00°
Positions (direct):
Ba (0.000, 0.500, 0.000)
Ba (0.500, 0.000, 0.000)
Sr (0.000, 0.000, 0.500)
Hg (0.500, 0.500, 0.500)
Rh (0.000, 0.000, 0.000)

Computed properties:
- density (g/cm³) = 5.23
- V (Å³ per atom) = 42.29
- magnetization (μB per atom) = 0.0000
- Fermi-level density of states (states/eV per cell) = 5.26

***

Which structure wins on stability? x wins.

***

w | Here is BaSr2HgRh after structural relaxation from Alexandria. Energies are from PBE-GGA.

a = 5.735 Å, b = 5.735 Å, c = 5.590 Å
α = 90.00°, β = 90.00°, γ = 90.00°
Positions (direct):
Ba (0.000, 0.000, 0.000)
Sr (0.000, 0.500, 0.500)
Sr (0.500, 0.000, 0.500)
Hg (0.500, 0.500, 0.000)
Rh (0.500, 0.500, 0.500)

Computed properties:
- density (g/cm³) = 5.57
- V (Å³ per atom) = 36.76
- magnetization (μB per atom) = 0.0000
- Fermi-level density of states (states/eV per cell) = 4.81

***

x | Here is BaSr2HgRh after structural relaxation from Alexandria. Energies are from PBE-GGA.

a = 5.817 Å, b = 5.817 Å, c = 5.986 Å
α = 90.00°, β = 90.00°, γ = 90.00°
Positions (direct):
Ba (0.000, 0.000, 0.000)
Sr (0.000, 0.500, 0.500)
Sr (0.500, 0.000, 0.500)
Hg (0.500, 0.500, 0.000)
Rh (0.000, 0.000, 0.500)

Computed properties:
- density (g/cm³) = 5.05
- V (Å³ per atom) = 40.51
- magnetization (μB per atom) = 0.0000
- Fermi-level density of states (states/eV per cell) = 4.18

***

Which structure wins on stability? x wins.

***

w | Here is Ba2TlHgRh after structural relaxation from Alexandria. Energies are from PBE-GGA.

a = 6.009 Å, b = 6.009 Å, c = 5.293 Å
α = 90.00°, β = 90.00°, γ = 90.00°
Positions (direct):
Ba (0.000, 0.500, 0.000)
Ba (0.500, 0.000, 0.000)
Tl (0.000, 0.000, 0.500)
Hg (0.500, 0.500, 0.500)
Rh (0.000, 0.000, 0.000)

Computed properties:
- density (g/cm³) = 6.80
- V (Å³ per atom) = 38.22
- magnetization (μB per atom) = 0.0000
- Fermi-level density of states (states/eV per cell) = 2.92

***

x | Here is Ba2TlHgRh after structural relaxation from Alexandria. Energies are from PBE-GGA.

a = 5.930 Å, b = 5.930 Å, c = 5.338 Å
α = 90.00°, β = 90.00°, γ = 90.00°
Positions (direct):
Ba (0.000, 0.500, 0.000)
Ba (0.500, 0.000, 0.000)
Tl (0.000, 0.000, 0.500)
Hg (0.500, 0.500, 0.500)
Rh (0.500, 0.500, 0.000)

Computed properties:
- density (g/cm³) = 6.92
- V (Å³ per atom) = 37.54
- magnetization (μB per atom) = 0.0001
- Fermi-level density of states (states/eV per cell) = 4.76

***

Which structure wins on stability? w wins.

***

w | Here is BaHg3Ru after structural relaxation from Alexandria. Energies are from PBE-GGA.

a = 6.304 Å, b = 6.304 Å, c = 6.304 Å
α = 90.00°, β = 90.00°, γ = 90.00°
Positions (direct):
Ba (0.000, 0.000, 0.000)
Hg (0.000, 0.000, 0.500)
Hg (0.000, 0.500, 0.000)
Hg (0.500, 0.000, 0.000)
Ru (0.500, 0.500, 0.500)

Computed properties:
- density (g/cm³) = 5.57
- V (Å³ per atom) = 50.10
- magnetization (μB per atom) = 0.4834
- Fermi-level density of states (states/eV per cell) = 5.84

***

x | Here is BaHg3Ru after structural relaxation from Alexandria. Energies are from PBE-GGA.

a = 5.301 Å, b = 5.301 Å, c = 5.301 Å
α = 90.00°, β = 90.00°, γ = 90.00°
Positions (direct):
Ba (0.000, 0.000, 0.000)
Hg (0.000, 0.500, 0.500)
Hg (0.500, 0.000, 0.500)
Hg (0.500, 0.500, 0.000)
Ru (0.500, 0.500, 0.500)

Computed properties:
- density (g/cm³) = 9.37
- V (Å³ per atom) = 29.79
- magnetization (μB per atom) = 0.0000
- Fermi-level density of states (states/eV per cell) = 3.10

***

Which structure wins on stability? x wins.

***

w | Here is BaHg4Sb after structural relaxation from Alexandria. Energies are from PBE-GGA.

a = 6.749 Å, b = 6.749 Å, c = 11.316 Å
α = 90.00°, β = 90.00°, γ = 133.55°
Positions (direct):
Ba (0.210, 0.790, 0.750)
Ba (0.790, 0.210, 0.250)
Hg (0.000, 0.000, 0.000)
Hg (0.000, 0.000, 0.500)
Hg (0.332, 0.668, 0.029)
Hg (0.332, 0.668, 0.471)
Hg (0.474, 0.526, 0.250)
Hg (0.526, 0.474, 0.750)
Hg (0.668, 0.332, 0.529)
Hg (0.668, 0.332, 0.971)
Sb (0.087, 0.913, 0.250)
Sb (0.913, 0.087, 0.750)

Computed properties:
- density (g/cm³) = 9.44
- V (Å³ per atom) = 31.13
- magnetization (μB per atom) = 0.0000
- Fermi-level density of states (states/eV per cell) = 4.93

***

x | Here is BaHg4Sb after structural relaxation from Alexandria. Energies are from PBE-GGA.

a = 6.337 Å, b = 6.337 Å, c = 6.337 Å
α = 60.00°, β = 60.00°, γ = 60.00°
Positions (direct):
Ba (0.000, 0.000, 0.000)
Hg (0.128, 0.624, 0.624)
Hg (0.624, 0.128, 0.624)
Hg (0.624, 0.624, 0.128)
Hg (0.624, 0.624, 0.624)
Sb (0.250, 0.250, 0.250)

Computed properties:
- density (g/cm³) = 9.80
- V (Å³ per atom) = 29.99
- magnetization (μB per atom) = 0.0000
- Fermi-level density of states (states/eV per cell) = 5.25

***

Which structure wins on stability? w wins.

***

w | Here is BaHgSb2Te after structural relaxation from Alexandria. Energies are from PBE-GGA.

a = 5.590 Å, b = 5.590 Å, c = 5.900 Å
α = 90.00°, β = 90.00°, γ = 90.00°
Positions (direct):
Ba (0.000, 0.000, 0.000)
Hg (0.500, 0.500, 0.500)
Sb (0.000, 0.500, 0.500)
Sb (0.500, 0.000, 0.500)
Te (0.500, 0.500, 0.000)

Computed properties:
- density (g/cm³) = 6.39
- V (Å³ per atom) = 36.88
- magnetization (μB per atom) = 0.0000
- Fermi-level density of states (states/eV per cell) = 5.14

***

x | Here is BaHgSb2Te after structural relaxation from Alexandria. Energies are from PBE-GGA.

a = 6.575 Å, b = 6.575 Å, c = 6.498 Å
α = 90.00°, β = 90.00°, γ = 90.00°
Positions (direct):
Ba (0.000, 0.000, 0.000)
Hg (0.500, 0.500, 0.500)
Sb (0.000, 0.500, 0.000)
Sb (0.500, 0.000, 0.000)
Te (0.000, 0.000, 0.500)

Computed properties:
- density (g/cm³) = 4.19
- V (Å³ per atom) = 56.19
- magnetization (μB per atom) = 0.2294
- Fermi-level density of states (states/eV per cell) = 7.06

***

Which structure wins on stability? w wins.

***

w | Here is Ba2Hg2Se after structural relaxation from Alexandria. Energies are from PBE-GGA.

a = 8.830 Å, b = 8.830 Å, c = 5.265 Å
α = 90.00°, β = 90.00°, γ = 90.00°
Positions (direct):
Ba (0.190, 0.310, 0.000)
Ba (0.310, 0.810, 0.000)
Ba (0.690, 0.190, 0.000)
Ba (0.810, 0.690, 0.000)
Hg (0.118, 0.618, 0.500)
Hg (0.382, 0.118, 0.500)
Hg (0.618, 0.882, 0.500)
Hg (0.882, 0.382, 0.500)
Se (0.000, 0.000, 0.000)
Se (0.500, 0.500, 0.000)

Computed properties:
- density (g/cm³) = 6.11
- V (Å³ per atom) = 41.05
- magnetization (μB per atom) = 0.0000
- Fermi-level density of states (states/eV per cell) = 2.29

***

x | Here is Ba2Hg2Se after structural relaxation from Alexandria. Energies are from PBE-GGA.

a = 8.773 Å, b = 8.773 Å, c = 4.609 Å
α = 90.00°, β = 90.00°, γ = 90.00°
Positions (direct):
Ba (0.184, 0.316, 0.000)
Ba (0.316, 0.816, 0.000)
Ba (0.684, 0.184, 0.000)
Ba (0.816, 0.684, 0.000)
Hg (0.120, 0.620, 0.500)
Hg (0.380, 0.120, 0.500)
Hg (0.620, 0.880, 0.500)
Hg (0.880, 0.380, 0.500)
Se (0.000, 0.000, 0.500)
Se (0.500, 0.500, 0.500)

Computed properties:
- density (g/cm³) = 7.07
- V (Å³ per atom) = 35.47
- magnetization (μB per atom) = 0.0000
- Fermi-level density of states (states/eV per cell) = 5.45

***

Which structure wins on stability? w wins.

***

w | Here is BaHgSe3 after structural relaxation from Alexandria. Energies are from PBE-GGA.

a = 5.345 Å, b = 5.345 Å, c = 5.345 Å
α = 90.00°, β = 90.00°, γ = 90.00°
Positions (direct):
Ba (0.000, 0.000, 0.000)
Hg (0.500, 0.500, 0.500)
Se (0.000, 0.500, 0.500)
Se (0.500, 0.000, 0.500)
Se (0.500, 0.500, 0.000)

Computed properties:
- density (g/cm³) = 6.25
- V (Å³ per atom) = 30.53
- magnetization (μB per atom) = 0.0000
- Fermi-level density of states (states/eV per cell) = 4.59

***

x | Here is BaHgSe3 after structural relaxation from Alexandria. Energies are from PBE-GGA.

a = 6.441 Å, b = 6.441 Å, c = 6.441 Å
α = 90.00°, β = 90.00°, γ = 90.00°
Positions (direct):
Ba (0.000, 0.000, 0.000)
Hg (0.500, 0.500, 0.500)
Se (0.000, 0.000, 0.500)
Se (0.000, 0.500, 0.000)
Se (0.500, 0.000, 0.000)

Computed properties:
- density (g/cm³) = 3.57
- V (Å³ per atom) = 53.45
- magnetization (μB per atom) = 0.8000
- Fermi-level density of states (states/eV per cell) = 5.79

***

Which structure wins on stability? w wins.

***

w | Here is Ba2SiHg2 after structural relaxation from Alexandria. Energies are from PBE-GGA.

a = 10.159 Å, b = 10.159 Å, c = 10.159 Å
α = 155.85°, β = 155.85°, γ = 34.41°
Positions (direct):
Ba (0.093, 0.093, 0.000)
Ba (0.907, 0.907, 0.000)
Si (0.500, 0.500, 0.000)
Hg (0.250, 0.750, 0.500)
Hg (0.750, 0.250, 0.500)

Computed properties:
- density (g/cm³) = 6.67
- V (Å³ per atom) = 35.05
- magnetization (μB per atom) = 0.0000
- Fermi-level density of states (states/eV per cell) = 3.49

***

x | Here is Ba2SiHg2 after structural relaxation from Alexandria. Energies are from PBE-GGA.

a = 7.930 Å, b = 7.930 Å, c = 5.193 Å
α = 90.00°, β = 90.00°, γ = 90.00°
Positions (direct):
Ba (0.184, 0.316, 0.000)
Ba (0.316, 0.816, 0.000)
Ba (0.684, 0.184, 0.000)
Ba (0.816, 0.684, 0.000)
Si (0.000, 0.000, 0.500)
Si (0.500, 0.500, 0.500)
Hg (0.130, 0.630, 0.500)
Hg (0.370, 0.130, 0.500)
Hg (0.630, 0.870, 0.500)
Hg (0.870, 0.370, 0.500)

Computed properties:
- density (g/cm³) = 7.16
- V (Å³ per atom) = 32.66
- magnetization (μB per atom) = 0.0000
- Fermi-level density of states (states/eV per cell) = 6.17

***

Which structure wins on stability? w wins.

***

w | Here is BaSiHg3 after structural relaxation from Alexandria. Energies are from PBE-GGA.

a = 6.507 Å, b = 6.507 Å, c = 6.507 Å
α = 90.00°, β = 90.00°, γ = 90.00°
Positions (direct):
Ba (0.000, 0.000, 0.000)
Si (0.500, 0.500, 0.500)
Hg (0.000, 0.000, 0.500)
Hg (0.000, 0.500, 0.000)
Hg (0.500, 0.000, 0.000)

Computed properties:
- density (g/cm³) = 4.62
- V (Å³ per atom) = 55.11
- magnetization (μB per atom) = 0.5425
- Fermi-level density of states (states/eV per cell) = 4.60

***

x | Here is BaSiHg3 after structural relaxation from Alexandria. Energies are from PBE-GGA.

a = 5.305 Å, b = 5.305 Å, c = 5.305 Å
α = 90.00°, β = 90.00°, γ = 90.00°
Positions (direct):
Ba (0.000, 0.000, 0.000)
Si (0.500, 0.500, 0.500)
Hg (0.000, 0.500, 0.500)
Hg (0.500, 0.000, 0.500)
Hg (0.500, 0.500, 0.000)

Computed properties:
- density (g/cm³) = 8.53
- V (Å³ per atom) = 29.86
- magnetization (μB per atom) = 0.0000
- Fermi-level density of states (states/eV per cell) = 2.01

***

Which structure wins on stability? x wins.

***

w | Here is BaSi3Hg after structural relaxation from Alexandria. Energies are from PBE-GGA.

a = 5.227 Å, b = 5.227 Å, c = 5.227 Å
α = 90.00°, β = 90.00°, γ = 90.00°
Positions (direct):
Ba (0.000, 0.000, 0.000)
Si (0.000, 0.500, 0.500)
Si (0.500, 0.000, 0.500)
Si (0.500, 0.500, 0.000)
Hg (0.500, 0.500, 0.500)

Computed properties:
- density (g/cm³) = 4.91
- V (Å³ per atom) = 28.56
- magnetization (μB per atom) = 0.0000
- Fermi-level density of states (states/eV per cell) = 3.21

***

x | Here is BaSi3Hg after structural relaxation from Alexandria. Energies are from PBE-GGA.

a = 5.798 Å, b = 5.798 Å, c = 5.798 Å
α = 90.00°, β = 90.00°, γ = 90.00°
Positions (direct):
Ba (0.000, 0.000, 0.000)
Si (0.000, 0.000, 0.500)
Si (0.000, 0.500, 0.000)
Si (0.500, 0.000, 0.000)
Hg (0.500, 0.500, 0.500)

Computed properties:
- density (g/cm³) = 3.60
- V (Å³ per atom) = 38.99
- magnetization (μB per atom) = 0.0000
- Fermi-level density of states (states/eV per cell) = 6.08

***

Which structure wins on stability? w wins.

***

w | Here is BaSm2Hg after structural relaxation from Alexandria. Energies are from PBE-GGA.

a = 12.273 Å, b = 12.273 Å, c = 12.273 Å
α = 17.65°, β = 17.65°, γ = 17.65°
Positions (direct):
Ba (0.000, 0.000, 0.000)
Sm (0.102, 0.102, 0.102)
Sm (0.898, 0.898, 0.898)
Hg (0.500, 0.500, 0.500)

Computed properties:
- density (g/cm³) = 7.15
- V (Å³ per atom) = 37.08
- magnetization (μB per atom) = 0.0007
- Fermi-level density of states (states/eV per cell) = 5.07

***

x | Here is BaSm2Hg after structural relaxation from Alexandria. Energies are from PBE-GGA.

a = 3.860 Å, b = 3.860 Å, c = 9.722 Å
α = 90.00°, β = 90.00°, γ = 90.00°
Positions (direct):
Ba (0.000, 0.000, 0.000)
Sm (0.500, 0.500, 0.316)
Sm (0.500, 0.500, 0.684)
Hg (0.000, 0.000, 0.500)

Computed properties:
- density (g/cm³) = 7.32
- V (Å³ per atom) = 36.21
- magnetization (μB per atom) = 0.0005
- Fermi-level density of states (states/eV per cell) = 5.55

***

Which structure wins on stability? x wins.

***

w | Here is BaSn4Hg2 after structural relaxation from Alexandria. Energies are from PBE-GGA.

a = 6.132 Å, b = 6.133 Å, c = 6.547 Å
α = 72.02°, β = 72.27°, γ = 72.32°
Positions (direct):
Ba (0.000, 0.000, 0.000)
Sn (0.044, 0.631, 0.632)
Sn (0.372, 0.956, 0.366)
Sn (0.628, 0.044, 0.634)
Sn (0.956, 0.369, 0.368)
Hg (0.385, 0.388, 0.918)
Hg (0.615, 0.612, 0.082)

Computed properties:
- density (g/cm³) = 7.75
- V (Å³ per atom) = 31.00
- magnetization (μB per atom) = 0.0000
- Fermi-level density of states (states/eV per cell) = 2.31

***

x | Here is BaSn4Hg2 after structural relaxation from Alexandria. Energies are from PBE-GGA.

a = 8.640 Å, b = 8.640 Å, c = 4.975 Å
α = 90.00°, β = 90.00°, γ = 144.79°
Positions (direct):
Ba (0.000, 0.000, 0.000)
Sn (0.185, 0.815, 0.500)
Sn (0.304, 0.696, 0.000)
Sn (0.696, 0.304, 0.000)
Sn (0.815, 0.185, 0.500)
Hg (0.414, 0.586, 0.500)
Hg (0.586, 0.414, 0.500)

Computed properties:
- density (g/cm³) = 7.86
- V (Å³ per atom) = 30.58
- magnetization (μB per atom) = 0.0000
- Fermi-level density of states (states/eV per cell) = 2.84

***

Which structure wins on stability? w wins.